Entry 1:
A plane-wave DFT calculation with PBE was carried out for Rb2ZnB after structural relaxation.

```
Rb2ZnB
1.0
-1.089 -5.071 2.689
-5.306 -1.056 2.206
-3.479 -3.957 -2.524
Rb Zn B
2 1 1
direct
0.250 0.250 0.250
0.750 0.750 0.750
0.500 0.500 0.500
0.000 0.000 0.000
```

calculated volume = 141.0 Å³ per cell
raw total energy = -1.3733 eV/atom
offset from the most stable computed form = 2.40 eV per formula unit
formation energy = 25.33 kcal/mol of atoms


Entry 2:
A plane-wave DFT calculation with PBE was carried out for RbZrB2 after structural relaxation.

```
RbZrB2
1.0
5.384 0.000 0.000
0.000 5.384 0.000
2.692 2.692 7.509
Rb B Zr
2 4 2
direct
0.500 0.500 0.000
0.250 0.750 0.500
0.375 0.126 0.750
0.874 0.125 0.250
0.875 0.124 0.750
0.876 0.625 0.250
0.000 0.000 0.000
0.750 0.250 0.500
```

calculated volume = 217.7 Å³ per cell
raw total energy = -4.4012 eV/atom
offset from the most stable computed form = 0.00 eV per formula unit
formation energy = 30.36 kcal/mol of atoms


Entry 3:
A plane-wave DFT calculation with PBE was carried out for RbZrB3 after structural relaxation.

```
RbZrB3
1.0
4.378 0.000 0.000
0.000 4.378 0.000
0.000 0.000 4.378
Rb B Zr
1 3 1
direct
0.000 0.000 0.000
0.000 0.500 0.000
0.000 0.000 0.500
0.500 0.000 0.000
0.500 0.500 0.500
```

calculated volume = 83.9 Å³ per cell
raw total energy = -2.9475 eV/atom
offset from the most stable computed form = 7.22 eV per formula unit
formation energy = 68.31 kcal/mol of atoms


Entry 4:
A plane-wave DFT calculation with PBE was carried out for RbZrB3 after structural relaxation.

```
RbZrB3
1.0
4.739 0.000 0.000
0.000 4.739 0.000
0.000 0.000 4.739
Rb Zr B
1 1 3
direct
0.500 0.500 0.500
0.000 0.000 0.000
0.500 0.000 0.000
0.000 0.500 0.000
0.000 0.000 0.500
```

calculated volume = 106.4 Å³ per cell
raw total energy = -4.3917 eV/atom
offset from the most stable computed form = 0.00 eV per formula unit
formation energy = 35.00 kcal/mol of atoms